# 1
Pr2ZnPdO6: relaxed, GGA-PBE.

Computed properties:
- uncorrected energy (eV/cell) = -133.63
- ΔE_f (raw) (meV per atom) = -2104
- symmetry = P2_1/c (14)

Unit cell a=5.545 b=5.816 c=9.650 alpha=90.00 beta=124.97 gamma=90.00
Sites, in units of the cell vectors:
1 Pr 0.233 0.065 0.251
2 Pr 0.233 0.435 0.751
3 Pr 0.767 0.565 0.249
4 Pr 0.767 0.935 0.749
5 Zn 0.500 0.000 0.000
6 Zn 0.500 0.500 0.500
7 Pd 0.000 0.000 0.500
8 Pd 0.000 0.500 0.000
9 O 0.141 0.206 0.947
10 O 0.141 0.294 0.447
11 O 0.247 0.698 0.949
12 O 0.247 0.802 0.449
13 O 0.347 0.030 0.748
14 O 0.347 0.470 0.248
15 O 0.653 0.530 0.752
16 O 0.653 0.970 0.252
17 O 0.753 0.198 0.551
18 O 0.753 0.302 0.051
19 O 0.859 0.706 0.553
20 O 0.859 0.794 0.053

---

# 2
PdPtO2: relaxed, GGA-PBE.

Computed properties:
- uncorrected energy (eV/cell) = -21.86
- ΔE_f (raw) (meV per atom) = -178
- symmetry = R-3m (166)

Unit cell a=6.411 b=6.411 c=6.411 alpha=28.63 beta=28.63 gamma=28.63
Sites, in units of the cell vectors:
1 Pd 0.000 0.000 0.000
2 Pt 0.500 0.500 0.500
3 O 0.111 0.111 0.111
4 O 0.889 0.889 0.889